A plane-wave DFT calculation with PBE-GGA was carried out for a geometry-optimized Th5Se5S structure.

Unit cell a=7.1682 b=7.1682 c=8.2838 alpha=106.94 beta=106.94 gamma=48.32
With the nearest neighbours (Å) after each atom.
Fractional positions:
S 0.0000 0.0000 0.0000  6 Th 2.81-2.93
Se 0.3447 0.3447 0.1900  5 Th 2.93-3.07
Se 0.6660 0.6660 0.3426  5 Th 2.94-3.07
Se 0.0000 0.0000 0.5000  4 Th 2.94-2.97
Se 0.3340 0.3340 0.6574  5 Th 2.94-3.07
Se 0.6553 0.6553 0.8100  5 Th 2.93-3.07
Th 0.5000 0.5000 0.0000  2 S 2.93, 4 Se 2.94-2.97
Th 0.8348 0.8348 0.1563  1 S 2.85, 5 Se 2.95-3.07
Th 0.1607 0.1607 0.3199  1 S 2.81, 5 Se 2.93-2.98
Th 0.8393 0.8393 0.6801  1 S 2.81, 5 Se 2.93-2.98
Th 0.1652 0.1652 0.8437  1 S 2.85, 5 Se 2.95-3.07

Computed properties:
**Uncorrected energy**: -6.997 eV/atom

A plane-wave DFT calculation with PBE-GGA was carried out for a geometry-optimized Li4CdP2 structure.

Unit cell a=8.4448 b=8.4448 c=8.4448 alpha=29.65 beta=29.65 gamma=29.65
With the nearest neighbours (Å) after each atom.
Fractional positions:
Cd 0.0000 0.0000 0.0000  2 P 2.41
Li 0.2046 0.2046 0.2046  4 P 2.54-2.59, 3 Li 2.68
Li 0.4216 0.4216 0.4216  3 P 2.51, 3 Li 2.68
Li 0.5784 0.5784 0.5784  3 P 2.51, 3 Li 2.68
Li 0.7954 0.7954 0.7954  4 P 2.54-2.59, 3 Li 2.68
P 0.0996 0.0996 0.0996  1 Cd 2.41, 7 Li 2.51-2.59
P 0.9004 0.9004 0.9004  1 Cd 2.41, 7 Li 2.51-2.59

Computed properties:
**Uncorrected energy**: -3.296 eV/atom

A plane-wave DFT calculation with PBE-GGA was carried out for a geometry-optimized YSi2NiOs structure.

Unit cell a=5.7364 b=5.7364 c=5.7364 alpha=139.51 beta=139.51 gamma=58.60
With the nearest neighbours (Å) after each atom.
Fractional positions:
Ni 0.0000 0.0000 0.0000  4 Si 2.36
Os 0.5000 0.5000 0.0000  4 Si 2.36
Si 0.6279 0.1279 0.5000  2 Ni 2.36, 2 Os 2.36, 1 Si 2.44
Si 0.8721 0.3721 0.5000  2 Os 2.36, 2 Ni 2.36, 1 Si 2.44
Y 0.2500 0.7500 0.5000  8 Si 3.06, 4 Ni 3.19, 4 Os 3.19

Computed properties:
**Uncorrected energy**: -7.601 eV/atom

Q: Number 3 is which compound?
A: YSi2NiOs